Version a
VASP calculation (GGA-PBE) on a relaxed structure of LaNbCr3.

Geometry as CIF:
```
data_LaNbCr3
_chemical_formula_sum 'La1 Nb1 Cr3'
_cell_length_a 4.812
_cell_length_b 4.812
_cell_length_c 4.812
_cell_angle_alpha 90.00
_cell_angle_beta 90.00
_cell_angle_gamma 90.00
_space_group_name_H-M_alt 'P m -3 m'
_space_group_IT_number 221
_space_group_name_Hall '-P 4 2 3'
loop_
_atom_site_label
_atom_site_type_symbol
_atom_site_fract_x
_atom_site_fract_y
_atom_site_fract_z
La1 La 0.000 0.000 0.000
Nb1 Nb 0.500 0.500 0.500
Cr1 Cr 0.000 0.500 0.500
```

Output
Mass density = 5.78 g/cm³

---

Version b
VASP calculation (GGA-PBE) on a relaxed structure of LaNbCr3.

Geometry as CIF:
```
data_LaNbCr3
_chemical_formula_sum 'La1 Nb1 Cr3'
_cell_length_a 4.502
_cell_length_b 4.502
_cell_length_c 4.502
_cell_angle_alpha 90.00
_cell_angle_beta 90.00
_cell_angle_gamma 90.00
_space_group_name_H-M_alt 'P m -3 m'
_space_group_IT_number 221
_space_group_name_Hall '-P 4 2 3'
loop_
_atom_site_label
_atom_site_type_symbol
_atom_site_fract_x
_atom_site_fract_y
_atom_site_fract_z
La1 La 0.000 0.000 0.000
Nb1 Nb 0.500 0.500 0.500
Cr1 Cr 0.000 0.000 0.500
```

Output
Mass density = 7.06 g/cm³

---

version a (964 meV per atom below the next structure)

---

Version a
VASP calculation (GGA-PBE) on a relaxed structure of LaCrNi3.

Geometry as CIF:
```
data_LaCrNi3
_chemical_formula_sum 'La1 Cr1 Ni3'
_cell_length_a 4.440
_cell_length_b 4.440
_cell_length_c 4.440
_cell_angle_alpha 90.00
_cell_angle_beta 90.00
_cell_angle_gamma 90.00
_space_group_name_H-M_alt 'P m -3 m'
_space_group_IT_number 221
_space_group_name_Hall '-P 4 2 3'
loop_
_atom_site_label
_atom_site_type_symbol
_atom_site_fract_x
_atom_site_fract_y
_atom_site_fract_z
La1 La 0.000 0.000 0.000
Cr1 Cr 0.500 0.500 0.500
Ni1 Ni 0.000 0.500 0.500
```

Output
Mass density = 6.96 g/cm³

---

Version b
VASP calculation (GGA-PBE) on a relaxed structure of LaCrNi3.

Geometry as CIF:
```
data_LaCrNi3
_chemical_formula_sum 'La1 Cr1 Ni3'
_cell_length_a 4.717
_cell_length_b 4.717
_cell_length_c 4.717
_cell_angle_alpha 90.00
_cell_angle_beta 90.00
_cell_angle_gamma 90.00
_space_group_name_H-M_alt 'P m -3 m'
_space_group_IT_number 221
_space_group_name_Hall '-P 4 2 3'
loop_
_atom_site_label
_atom_site_type_symbol
_atom_site_fract_x
_atom_site_fract_y
_atom_site_fract_z
La1 La 0.000 0.000 0.000
Cr1 Cr 0.500 0.500 0.500
Ni1 Ni 0.000 0.000 0.500
```

Output
Mass density = 5.81 g/cm³

---

version a (1037 meV per atom below the next structure)